1.
A plane-wave DFT calculation with PBE-GGA was carried out for crystalline HoTaBeIr2 at its relaxed geometry.

For the formation energy, the calculation gives -0.596 eV per atom. For the calculated volume, the calculation gives 179.27 Å³/cell. For the density of states at the Fermi level, the calculation gives 5.19 states/eV per cell. For the density, the calculation gives 13.7 g/cm³.

It has space group I-4m2 (No. 119), with a = 3.8991 Å, b = 3.8991 Å, c = 11.7916 Å, α = 90.00°, β = 90.00° and γ = 90.00°. The inequivalent atoms are Ho at (0.0000, 0.0000, 0.0000), Ta at (0.0000, 0.5000, 0.2500), Be at (0.0000, 0.5000, 0.7500) and Ir at (0.0000, 0.0000, 0.3857).

2.
A plane-wave DFT calculation with PBE-GGA was carried out for crystalline HoTh2Be3Ir4 at its relaxed geometry.

For the formation energy, the calculation gives -0.690 eV per atom. For the calculated volume, the calculation gives 178.20 Å³/cell. For the density of states at the Fermi level, the calculation gives 5.88 states/eV per cell. For the density, the calculation gives 13.3 g/cm³.

It has space group P-4m2 (No. 115), with a = 4.1066 Å, b = 4.1066 Å, c = 10.5669 Å, α = 90.00°, β = 90.00° and γ = 90.00°. The inequivalent atoms are Ho at (0.0000, 0.0000, 0.0000), Th at (0.0000, 0.5000, 0.7170), Be at (0.0000, 0.5000, 0.3998), Be at (0.5000, 0.5000, 0.0000), Ir at (0.0000, 0.0000, 0.5000), Ir at (0.0000, 0.5000, 0.1714) and Ir at (0.5000, 0.5000, 0.5000).

3.
A plane-wave DFT calculation with PBE-GGA was carried out for crystalline Ho2BeZnIr2 at its relaxed geometry.

For the formation energy, the calculation gives -0.664 eV per atom. For the calculated volume, the calculation gives 434.92 Å³/cell. For the density of states at the Fermi level, the calculation gives 8.36 states/eV per cell. For the density, the calculation gives 12.0 g/cm³.

It has space group Ibam (No. 72), with a = 5.7166 Å, b = 13.4274 Å, c = 5.6660 Å, α = 90.00°, β = 90.00° and γ = 90.00°. The inequivalent atoms are Ho at (0.2278, 0.1702, 0.0000), Be at (0.0000, 0.5000, 0.2500), Zn at (0.0000, 0.0000, 0.2500) and Ir at (0.2095, 0.3900, 0.0000).